# 1
A relaxed CsLa2Br crystal, computed with PBE-GGA.

abc: 8.2284 8.2284 8.2284
angles: 90.00 90.00 90.00
Sites, in units of the cell vectors:
Cs 0.0000 0.0000 0.0000
Cs 0.0000 0.5000 0.5000
Cs 0.5000 0.0000 0.5000
Cs 0.5000 0.5000 0.0000
La 0.2500 0.2500 0.2500
La 0.2500 0.2500 0.7500
La 0.2500 0.7500 0.2500
La 0.2500 0.7500 0.7500
La 0.7500 0.2500 0.2500
La 0.7500 0.2500 0.7500
La 0.7500 0.7500 0.2500
La 0.7500 0.7500 0.7500
Br 0.0000 0.0000 0.5000
Br 0.0000 0.5000 0.0000
Br 0.5000 0.0000 0.0000
Br 0.5000 0.5000 0.5000

- Crystal system: cubic
- N(E_F): 1.33 states/eV per atom
- Formation energy from raw total energies: 221 meV/atom
- ρ: 5.85 g/cm3
- Symmetry: Fm-3m, No. 225

---

# 2
A relaxed CsLa4Br12 crystal, computed with PBE-GGA.

abc: 10.0541 10.0541 10.0541
angles: 110.33 110.03 108.06
Sites, in units of the cell vectors:
Cs 0.0000 0.0000 0.0000
La 0.0000 0.0000 0.5000
La 0.0000 0.5000 0.0000
La 0.5000 0.0000 0.0000
La 0.5000 0.5000 0.5000
Br 0.0380 0.7269 0.3111
Br 0.2409 0.2168 0.4578
Br 0.2409 0.7832 0.0241
Br 0.2618 0.0780 0.8162
Br 0.2618 0.4456 0.1838
Br 0.4158 0.7269 0.6889
Br 0.5842 0.2731 0.3111
Br 0.7382 0.5544 0.8162
Br 0.7382 0.9220 0.1838
Br 0.7591 0.2168 0.9759
Br 0.7591 0.7832 0.5422
Br 0.9620 0.2731 0.6889

- Crystal system: orthorhombic
- N(E_F): 0.95 states/eV per atom
- Formation energy from raw total energies: -1879 meV/atom
- ρ: 3.50 g/cm3
- Symmetry: Immm, No. 71

---

# 3
A relaxed Cs2LaBr7 crystal, computed with PBE-GGA.

abc: 8.5355 8.5355 8.5355
angles: 114.63 114.63 99.59
Sites, in units of the cell vectors:
Cs 0.2500 0.7500 0.5000
Cs 0.7500 0.2500 0.5000
La 0.0000 0.0000 0.0000
Br 0.2217 0.2217 0.4435
Br 0.2217 0.7783 0.0000
Br 0.2714 0.2714 0.0000
Br 0.5000 0.5000 0.0000
Br 0.7286 0.7286 0.0000
Br 0.7783 0.2217 0.0000
Br 0.7783 0.7783 0.5565

- Crystal system: tetragonal
- N(E_F): 0.00 states/eV per atom
- Formation energy from raw total energies: -1440 meV/atom
- ρ: 3.42 g/cm3
- Symmetry: I4/mmm, No. 139

---

# 4
A relaxed CsLaBr2 crystal, computed with PBE-GGA.

abc: 4.4426 4.4426 31.8816
angles: 90.00 90.00 120.00
Sites, in units of the cell vectors:
Cs 0.0000 0.0000 0.0000
Cs 0.3333 0.6667 0.6667
Cs 0.6667 0.3333 0.3333
La 0.0000 0.0000 0.5000
La 0.3333 0.6667 0.1667
La 0.6667 0.3333 0.8333
Br 0.0000 0.0000 0.4088
Br 0.0000 0.0000 0.5912
Br 0.3333 0.6667 0.0754
Br 0.3333 0.6667 0.2579
Br 0.6667 0.3333 0.7421
Br 0.6667 0.3333 0.9246

- Crystal system: trigonal
- N(E_F): 0.47 states/eV per atom
- Formation energy from raw total energies: -1271 meV/atom
- ρ: 3.95 g/cm3
- Symmetry: R-3m, No. 166

---

# 5
A relaxed CsLa2Br6 crystal, computed with PBE-GGA.

abc: 10.9034 10.9034 7.7266
angles: 107.47 107.47 70.45
Sites, in units of the cell vectors:
Cs 0.1987 0.8013 0.7500
Cs 0.8013 0.1987 0.2500
La 0.1883 0.3183 0.0518
La 0.3183 0.1883 0.5518
La 0.6817 0.8117 0.4482
La 0.8117 0.6817 0.9482
Br 0.0864 0.1670 0.6648
Br 0.1020 0.5738 0.9203
Br 0.1670 0.0864 0.1648
Br 0.2771 0.4480 0.4543
Br 0.4262 0.8980 0.5797
Br 0.4480 0.2771 0.9543
Br 0.5520 0.7229 0.0457
Br 0.5738 0.1020 0.4203
Br 0.7229 0.5520 0.5457
Br 0.8330 0.9136 0.8352
Br 0.8980 0.4262 0.0797
Br 0.9136 0.8330 0.3352

- Crystal system: monoclinic
- N(E_F): 0.43 states/eV per atom
- Formation energy from raw total energies: -1868 meV/atom
- ρ: 3.67 g/cm3
- Symmetry: C2/c, No. 15

---

# 6
A relaxed Cs2Li2LaBr6 crystal, computed with PBE-GGA.

abc: 7.6989 7.6989 9.3423
angles: 112.43 112.43 60.08
Sites, in units of the cell vectors:
Cs 0.2023 0.2023 0.1773
Cs 0.7977 0.7977 0.8227
Li 0.4473 0.4473 0.6526
Li 0.5527 0.5527 0.3474
La 0.0000 0.0000 0.5000
Br 0.1883 0.7200 0.2118
Br 0.2431 0.2431 0.5980
Br 0.2800 0.8117 0.7882
Br 0.7200 0.1883 0.2118
Br 0.7569 0.7569 0.4020
Br 0.8117 0.2800 0.7882

- Crystal system: monoclinic
- N(E_F): 0.11 states/eV per atom
- Formation energy from raw total energies: -1622 meV/atom
- ρ: 3.46 g/cm3
- Symmetry: C2/m, No. 12

---

# 7
A relaxed Cs3Li2LaBr9 crystal, computed with PBE-GGA.

abc: 7.9255 7.9255 9.9125
angles: 90.00 90.00 120.00
Sites, in units of the cell vectors:
Cs 0.0000 0.0000 0.0000
Cs 0.3333 0.6667 0.6807
Cs 0.6667 0.3333 0.3193
Li 0.3333 0.6667 0.1459
Li 0.6667 0.3333 0.8541
La 0.0000 0.0000 0.5000
Br 0.0000 0.5000 0.0000
Br 0.1722 0.3445 0.3266
Br 0.1722 0.8278 0.3266
Br 0.3445 0.1722 0.6734
Br 0.5000 0.0000 0.0000
Br 0.5000 0.5000 0.0000
Br 0.6555 0.8278 0.3266
Br 0.8278 0.1722 0.6734
Br 0.8278 0.6555 0.6734

- Crystal system: trigonal
- N(E_F): 1.10 states/eV per atom
- Formation energy from raw total energies: -1626 meV/atom
- ρ: 3.91 g/cm3
- Symmetry: P-3m1, No. 164

---

# 8
A relaxed CsLi4La3Br12 crystal, computed with PBE-GGA.

abc: 9.8442 9.8442 9.8442
angles: 108.73 108.73 108.73
Sites, in units of the cell vectors:
Cs 0.0000 0.0000 0.0000
Li 0.0837 0.5000 0.9163
Li 0.5000 0.5000 0.5000
Li 0.5000 0.9163 0.0837
Li 0.9163 0.0837 0.5000
La 0.0000 0.5765 0.4235
La 0.4235 0.0000 0.5765
La 0.5765 0.4235 0.0000
Br 0.0662 0.6585 0.7656
Br 0.0746 0.9254 0.5000
Br 0.2344 0.3415 0.9338
Br 0.3415 0.9338 0.2344
Br 0.3481 0.6519 0.5000
Br 0.5000 0.0746 0.9254
Br 0.5000 0.3481 0.6519
Br 0.6519 0.5000 0.3481
Br 0.6585 0.7656 0.0662
Br 0.7656 0.0662 0.6585
Br 0.9254 0.5000 0.0746
Br 0.9338 0.2344 0.3415

- Crystal system: trigonal
- N(E_F): 0.54 states/eV per atom
- Formation energy from raw total energies: -1651 meV/atom
- ρ: 3.38 g/cm3
- Symmetry: R32, No. 155

---

# 9
A relaxed CsLaMg2Br8 crystal, computed with PBE-GGA.

abc: 7.1029 7.3101 10.1554
angles: 71.85 74.44 72.81
Sites, in units of the cell vectors:
Cs 0.0000 0.0000 0.0000
La 0.0000 0.0000 0.5000
Mg 0.4636 0.4539 0.2046
Mg 0.5364 0.5461 0.7954
Br 0.1767 0.6977 0.7397
Br 0.2600 0.7740 0.2949
Br 0.2908 0.2383 0.4439
Br 0.4003 0.2894 0.0359
Br 0.5997 0.7106 0.9641
Br 0.7092 0.7617 0.5561
Br 0.7400 0.2260 0.7051
Br 0.8233 0.3023 0.2603

- Crystal system: triclinic
- N(E_F): 0.00 states/eV per atom
- Formation energy from raw total energies: -1649 meV/atom
- ρ: 3.39 g/cm3
- Symmetry: P-1, No. 2

---

# 10
A relaxed CsLaMn2Br crystal, computed with PBE-GGA.

abc: 5.6058 5.6058 6.1409
angles: 90.00 90.00 90.00
Sites, in units of the cell vectors:
Cs 0.0000 0.0000 0.0000
La 0.5000 0.5000 0.5000
Mn 0.0000 0.5000 0.0000
Mn 0.5000 0.0000 0.0000
Br 0.0000 0.0000 0.5000

- Crystal system: tetragonal
- N(E_F): 1.66 states/eV per atom
- Formation energy from raw total energies: 1188 meV/atom
- ρ: 3.97 g/cm3
- Symmetry: P4/mmm, No. 123

---

# 11
A relaxed CsNaLaBr5 crystal, computed with PBE-GGA.

abc: 8.5142 8.5142 11.3451
angles: 102.89 102.89 108.72
Sites, in units of the cell vectors:
Cs 0.1634 0.8366 0.7500
Cs 0.8366 0.1634 0.2500
Na 0.1885 0.8115 0.2500
Na 0.8115 0.1885 0.7500
La 0.5000 0.5000 0.0000
La 0.5000 0.5000 0.5000
Br 0.1390 0.2491 0.9284
Br 0.2046 0.6006 0.4124
Br 0.2491 0.1390 0.4284
Br 0.3994 0.7954 0.0876
Br 0.4329 0.5671 0.7500
Br 0.5671 0.4329 0.2500
Br 0.6006 0.2046 0.9124
Br 0.7509 0.8610 0.5716
Br 0.7954 0.3994 0.5876
Br 0.8610 0.7509 0.0716

- Crystal system: monoclinic
- N(E_F): 0.00 states/eV per atom
- Formation energy from raw total energies: -1837 meV/atom
- ρ: 3.20 g/cm3
- Symmetry: C2/c, No. 15

---

# 12
A relaxed CsNa2LaBr6 crystal, computed with PBE-GGA.

abc: 8.4657 8.4657 8.4657
angles: 54.92 54.92 54.92
Sites, in units of the cell vectors:
Cs 0.0000 0.0000 0.0000
Na 0.2743 0.2743 0.2743
Na 0.7916 0.7916 0.7916
La 0.4699 0.4699 0.4699
Br 0.0592 0.5974 0.4747
Br 0.2017 0.5385 0.8687
Br 0.4747 0.0592 0.5974
Br 0.5385 0.8687 0.2017
Br 0.5974 0.4747 0.0592
Br 0.8687 0.2017 0.5385

- Crystal system: trigonal
- N(E_F): 0.00 states/eV per atom
- Formation energy from raw total energies: -1780 meV/atom
- ρ: 3.50 g/cm3
- Symmetry: R3, No. 146

---

no.,DFT total energy (eV per atom)
1,-2.87
2,-4.27
3,-3.27
4,-3.55
5,-4.17
6,-3.49
7,-3.38
8,-3.82
9,-3.51
10,-3.97
11,-3.77
12,-3.63